(1)
Entry from Alexandria: an optimized crystal structure of LiV6O7F5 (PBE+U).

Spin magnetization ... 12.00 μB/f.u.
Calculated density ... 4.04 g cm⁻³
Energy above the lowest structure with this stoichiometry ... 36 meV/atom
Uncorrected energy ... -7.086 eV per atom

Unit cell a=4.820 b=5.686 c=7.813 alpha=85.34 beta=89.56 gamma=89.85
Last column: magnetic moment on the atom in μB.
Fractional positions:
F (0.192, 0.354, 0.430)  0.00
F (0.201, 0.025, 0.773)  0.00
F (0.300, 0.210, 0.108)  0.01
F (0.304, 0.859, 0.426)  0.01
F (0.691, 0.814, 0.895)  0.01
Li (0.501, 0.223, 0.772)  0.00
O (0.190, 0.717, 0.094)  -0.07
O (0.321, 0.521, 0.763)  -0.05
O (0.687, 0.471, 0.230)  -0.07
O (0.687, 0.128, 0.577)  -0.05
O (0.794, 0.974, 0.233)  -0.07
O (0.802, 0.302, 0.901)  -0.04
O (0.819, 0.630, 0.555)  -0.07
V (0.487, 0.522, 0.011)  1.98
V (0.527, 0.797, 0.648)  1.99
V (0.537, 0.170, 0.340)  1.98
V (0.990, 0.347, 0.674)  1.95
V (0.973, 0.662, 0.315)  1.94
V (0.983, 0.009, 0.017)  1.94


(2)
Entry from Alexandria: an optimized crystal structure of Li7VO5F (PBE+U).

Spin magnetization ... 1.00 μB/f.u.
Calculated density ... 2.44 g cm⁻³
Energy above the lowest structure with this stoichiometry ... 19 meV/atom
Uncorrected energy ... -5.452 eV per atom

Unit cell a=5.593 b=6.002 c=9.379 alpha=94.08 beta=103.08 gamma=116.06
Last column: magnetic moment on the atom in μB.
Fractional positions:
Li (0.777, 0.885, 0.531)  0.00
Li (0.753, 0.346, 0.989)  0.00
Li (0.043, 0.600, 0.393)  0.00
Li (0.957, 0.400, 0.607)  0.00
Li (0.515, 0.006, 0.317)  0.00
Li (0.494, 0.442, 0.768)  0.00
Li (0.356, 0.150, 0.095)  0.00
Li (0.485, 0.994, 0.683)  0.00
Li (0.506, 0.558, 0.232)  0.00
Li (0.112, 0.266, 0.868)  0.00
Li (0.888, 0.734, 0.132)  0.00
Li (0.223, 0.115, 0.469)  0.00
Li (0.247, 0.654, 0.011)  0.00
Li (0.644, 0.850, 0.905)  0.00
V (0.056, 0.814, 0.778)  0.99
V (0.944, 0.186, 0.222)  0.99
O (0.934, 0.213, 0.422)  -0.02
O (0.883, 0.666, 0.921)  -0.03
O (0.814, 0.972, 0.739)  0.01
O (0.747, 0.411, 0.195)  0.01
O (0.379, 0.116, 0.868)  0.00
O (0.186, 0.028, 0.261)  0.01
O (0.253, 0.589, 0.805)  0.01
O (0.117, 0.334, 0.079)  -0.03
O (0.066, 0.787, 0.578)  -0.02
O (0.621, 0.884, 0.132)  0.00
F (0.427, 0.699, 0.391)  0.00
F (0.573, 0.301, 0.609)  0.00


(3)
Entry from Alexandria: an optimized crystal structure of LiV3O4F8 (PBE+U).

Spin magnetization ... 0.06 μB/f.u.
Calculated density ... 3.00 g cm⁻³
Uncorrected energy ... -5.968 eV per atom

Unit cell a=5.355 b=5.870 c=7.649 alpha=112.47 beta=107.68 gamma=93.00
Fractional positions:
Li (0.306, 0.567, 0.676)
V (0.623, 0.196, 0.338)
V (0.279, 0.635, 0.163)
V (0.942, 0.975, 0.968)
O (0.770, 0.046, 0.150)
O (0.518, 0.418, 0.260)
O (0.272, 0.958, 0.170)
O (0.058, 0.270, 0.018)
F (0.929, 0.624, 0.983)
F (0.952, 0.327, 0.532)
F (0.622, 0.853, 0.761)
F (0.614, 0.850, 0.363)
F (0.486, 0.292, 0.546)
F (0.397, 0.535, 0.952)
F (0.149, 0.666, 0.358)
F (0.102, 0.826, 0.781)


(4)
Entry from Alexandria: an optimized crystal structure of Li3V4O3F9 (PBE+U).

Spin magnetization ... 8.00 μB/f.u.
Calculated density ... 3.39 g cm⁻³
Energy above the lowest structure with this stoichiometry ... 24 meV/atom
Uncorrected energy ... -6.159 eV per atom

Unit cell a=5.248 b=5.499 c=9.150 alpha=69.73 beta=105.76 gamma=117.70
Last column: magnetic moment on the atom in μB.
Fractional positions:
Li (0.924, 0.235, 0.651)  0.00
Li (0.206, 0.985, 0.406)  0.00
Li (0.318, 0.559, 0.105)  0.00
V (0.010, 0.035, 0.997)  1.99
V (0.733, 0.264, 0.257)  1.98
V (0.502, 0.478, 0.500)  1.93
V (0.263, 0.764, 0.753)  1.93
O (0.538, 0.429, 0.306)  -0.07
O (0.501, 0.121, 0.620)  -0.05
O (0.060, 0.401, 0.885)  -0.12
F (0.950, 0.677, 0.556)  0.01
F (0.961, 0.088, 0.201)  0.00
F (0.008, 0.637, 0.129)  0.00
F (0.485, 0.870, 0.375)  0.00
F (0.438, 0.169, 0.070)  0.01
F (0.430, 0.569, 0.677)  0.00
F (0.577, 0.828, 0.950)  0.00
F (0.047, 0.289, 0.451)  0.01
F (0.059, 0.955, 0.804)  0.00